The following is a GGA-PBE calculation of a relaxed structure of LuThTlIn, from the Alexandria database.

Cell: 5.3975 5.3975 5.3975 Å, 60.00 60.00 60.00°
Closest atoms and distances in Å follow each position.
Fractional positions:
Lu 0.7500 0.7500 0.7500  4 In 3.31, 4 Tl 3.31
In 0.5000 0.5000 0.5000  4 Th 3.31, 4 Lu 3.31
Th 0.2500 0.2500 0.2500  4 Tl 3.31, 4 In 3.31
Tl 0.0000 0.0000 0.0000  4 Lu 3.31, 4 Th 3.31

Density of states at the Fermi level, states/eV per cell: 4.4
DFT total energy, eV/atom: -4.471
Formation enthalpy at 0 K, eV per atom: -0.2098
Theoretical density, g/cm³: 10.8